# 1
Compound: Tb3CeDy7
Source: Alexandria via LeMat-Bulk
Functional: GGA-PBE
Structure: optimized geometry

Cell lengths 7.0243, 7.0243, 8.5900 Å; angles 90.00, 90.00, 120.00 degrees
Closest atoms and distances in Å follow each position.
Element x y z (fractional)
Tb1 0.0028 0.5014 0.0000  4 Tb 3.48-3.54, 1 Ce 3.50, 5 Dy 3.50-3.54
Tb2 0.4986 0.5014 0.0000  4 Tb 3.48-3.54, 1 Ce 3.50, 5 Dy 3.50-3.54
Tb3 0.4986 0.9972 0.0000  4 Tb 3.48-3.54, 1 Ce 3.50, 5 Dy 3.50-3.54
Ce1 0.3333 0.6667 0.3335  9 Dy 3.46-3.51, 3 Tb 3.50
Dy1 0.1689 0.3377 0.6624  1 Ce 3.46, 8 Dy 3.47-3.56, 2 Tb 3.53
Dy2 0.1689 0.8311 0.6624  1 Ce 3.46, 8 Dy 3.47-3.56, 2 Tb 3.53
Dy3 0.3346 0.1673 0.3323  7 Dy 3.49-3.53, 2 Tb 3.50, 2 Ce 3.51
Dy4 0.6623 0.8311 0.6624  1 Ce 3.46, 8 Dy 3.47-3.56, 2 Tb 3.53
Dy5 0.6667 0.3333 0.6635  9 Dy 3.49-3.51, 3 Tb 3.54
Dy6 0.8327 0.1673 0.3323  7 Dy 3.49-3.53, 2 Tb 3.50, 2 Ce 3.51
Dy7 0.8327 0.6654 0.3323  7 Dy 3.49-3.53, 2 Tb 3.50, 2 Ce 3.51

Properties
Space group = P3m1, No. 156
Formation energy = 20 kJ/mol of atoms


# 2
Compound: La2AsBr
Source: Alexandria via LeMat-Bulk
Functional: GGA-PBE
Structure: optimized geometry

Cell lengths 5.3268, 5.3268, 5.3268 Å; angles 60.00, 60.00, 60.00 degrees
Closest atoms and distances in Å follow each position.
Element x y z (fractional)
La1 0.0000 0.0000 0.0000  4 La 3.26, 4 Br 3.26
La2 0.2500 0.2500 0.2500  4 As 3.26, 4 La 3.26
As1 0.5000 0.5000 0.5000  4 Br 3.26, 4 La 3.26
Br1 0.7500 0.7500 0.7500  4 As 3.26, 4 La 3.26

Properties
Uncorrected formation energy = -0.4607 eV per atom
Space group = F-43m, No. 216


# 3
Compound: Tb12DyTl3
Source: Alexandria via LeMat-Bulk
Functional: GGA-PBE
Structure: optimized geometry

Cell lengths 4.8773, 4.8773, 19.9307 Å; angles 90.00, 90.00, 90.00 degrees
Closest atoms and distances in Å follow each position.
Element x y z (fractional)
Tb1 0.0000 0.0000 0.0000  4 Tl 3.45, 8 Tb 3.46
Tb2 0.0000 0.0000 0.2458  4 Tl 3.45, 8 Tb 3.45-3.48
Tb3 0.0000 0.0000 0.5000  4 Dy 3.45, 8 Tb 3.55
Tb4 0.0000 0.0000 0.7542  4 Tl 3.45, 8 Tb 3.45-3.48
Tb5 0.0000 0.5000 0.1232  4 Tl 3.42-3.46, 8 Tb 3.45-3.46
Tb6 0.0000 0.5000 0.3703  8 Tb 3.45-3.55, 2 Tl 3.51, 2 Dy 3.55
Tb7 0.0000 0.5000 0.6297  8 Tb 3.45-3.55, 2 Tl 3.51, 2 Dy 3.55
Tb8 0.0000 0.5000 0.8768  4 Tl 3.42-3.46, 8 Tb 3.45-3.46
Tb9 0.5000 0.0000 0.1232  4 Tl 3.42-3.46, 8 Tb 3.45-3.46
Tb10 0.5000 0.0000 0.3703  8 Tb 3.45-3.55, 2 Tl 3.51, 2 Dy 3.55
Tb11 0.5000 0.0000 0.6297  8 Tb 3.45-3.55, 2 Tl 3.51, 2 Dy 3.55
Tb12 0.5000 0.0000 0.8768  4 Tl 3.42-3.46, 8 Tb 3.45-3.46
Dy1 0.5000 0.5000 0.5000  12 Tb 3.45-3.55
Tl1 0.5000 0.5000 0.0000  12 Tb 3.45-3.46
Tl2 0.5000 0.5000 0.2435  12 Tb 3.42-3.51
Tl3 0.5000 0.5000 0.7565  12 Tb 3.42-3.51

Properties
Space group = P4/mmm, No. 123
Formation energy = -13 kJ/mol of atoms


Table of total DFT energy (no corrections) (eV/cell), in record order: -49.81; -18.02; -69.36
Table of calculated volume (Å³ per cell), in record order: 367.1; 106.9; 474.1